[1]
Below is a relaxed structure of Li2Ta2Se3O, with properties calculated at the PBE-GGA level.

Structure (POSCAR):
```
Li2Ta2Se3O
1.0
3.327 0.000 0.000
-1.664 2.882 0.000
0.000 0.000 13.302
Li O Se Ta
2 1 3 2
Direct
0.333 0.667 0.022
0.333 0.667 0.493
0.667 0.333 0.133
0.667 0.333 0.356
0.000 0.000 0.625
0.000 0.000 0.887
0.333 0.667 0.227
0.333 0.667 0.756
```

Electronic total energy   -6.532 eV per atom

***

[2]
Below is a relaxed structure of LiTbSeO, with properties calculated at the PBE-GGA level.

Structure (POSCAR):
```
LiTbSeO
1.0
3.846 0.000 0.000
0.000 6.108 0.000
0.000 0.000 6.720
Li O Se Tb
2 2 2 2
Direct
0.000 0.350 0.130
0.000 0.650 0.630
0.500 0.224 0.176
0.500 0.776 0.676
0.000 0.763 0.228
0.000 0.237 0.728
0.500 0.047 0.457
0.500 0.953 0.957
```

Distance to the lowest polymorph of the same formula   257 meV per atom

***

[3]
Below is a relaxed structure of LiTbSeO, with properties calculated at the PBE-GGA level.

Structure (POSCAR):
```
LiTbSeO
1.0
5.516 0.000 -0.673
0.000 5.548 0.000
-1.589 0.000 10.221
Li O Se Tb
4 4 4 4
Direct
0.456 0.622 0.412
0.983 0.164 0.414
0.017 0.664 0.586
0.544 0.122 0.588
0.750 0.593 0.000
0.250 0.594 0.000
0.750 0.094 0.000
0.250 0.093 0.000
0.900 0.620 0.333
0.403 0.117 0.334
0.597 0.617 0.666
0.100 0.120 0.667
0.555 0.345 0.111
0.055 0.845 0.111
0.945 0.345 0.889
0.445 0.845 0.889
```

Distance to the lowest polymorph of the same formula   85 meV per atom

***

[4]
Below is a relaxed structure of LiTbSeO, with properties calculated at the PBE-GGA level.

Structure (POSCAR):
```
LiTbSeO
1.0
-2.258 2.041 2.471
-2.534 -2.988 0.153
4.419 -3.397 6.844
Li O Se Tb
2 2 2 2
Direct
0.750 0.250 0.500
0.250 0.750 0.500
0.750 0.250 0.000
0.250 0.750 0.000
0.750 0.750 0.321
0.250 0.250 0.679
0.250 0.250 0.127
0.750 0.750 0.873
```

Distance to the lowest polymorph of the same formula   0 meV per atom

***

[5]
Below is a relaxed structure of LiTbSeO, with properties calculated at the PBE-GGA level.

Structure (POSCAR):
```
LiTbSeO
1.0
6.019 0.000 -0.241
0.000 7.258 0.000
-0.880 0.000 6.265
Li O Se Tb
4 4 4 4
Direct
0.879 0.267 0.015
0.121 0.767 0.485
0.879 0.233 0.515
0.121 0.733 0.985
0.584 0.324 0.087
0.416 0.824 0.413
0.584 0.176 0.587
0.416 0.676 0.913
0.852 0.940 0.203
0.148 0.440 0.297
0.852 0.560 0.703
0.148 0.060 0.797
0.594 0.609 0.238
0.406 0.109 0.262
0.594 0.891 0.738
0.406 0.391 0.762
```

Distance to the lowest polymorph of the same formula   112 meV per atom

***

[6]
Below is a relaxed structure of LiTmSeO, with properties calculated at the PBE-GGA level.

Structure (POSCAR):
```
LiTmSeO
1.0
-4.260 1.570 3.027
-3.391 -2.438 -3.507
2.896 -9.125 3.542
Li O Se Tm
4 4 4 4
Direct
0.444 0.609 0.410
0.970 0.138 0.410
0.030 0.638 0.590
0.556 0.109 0.590
0.750 0.103 0.000
0.250 0.603 0.000
0.750 0.602 0.000
0.250 0.102 0.000
0.409 0.119 0.330
0.908 0.621 0.331
0.092 0.121 0.669
0.591 0.619 0.670
0.057 0.854 0.109
0.557 0.354 0.109
0.443 0.854 0.891
0.943 0.354 0.891
```

Distance to the lowest polymorph of the same formula   50 meV per atom

***

[7]
Below is a relaxed structure of LiTmSeO, with properties calculated at the PBE-GGA level.

Structure (POSCAR):
```
LiTmSeO
1.0
3.857 0.000 0.000
0.000 3.857 0.000
0.000 0.000 8.760
Li O Se Tm
2 2 2 2
Direct
0.750 0.250 0.500
0.250 0.750 0.500
0.750 0.250 0.000
0.250 0.750 0.000
0.750 0.750 0.318
0.250 0.250 0.682
0.250 0.250 0.123
0.750 0.750 0.877
```

Distance to the lowest polymorph of the same formula   0 meV per atom

***

[8]
Below is a relaxed structure of LiTmSeO, with properties calculated at the PBE-GGA level.

Structure (POSCAR):
```
LiTmSeO
1.0
4.039 0.000 0.000
0.000 6.413 0.000
0.000 0.000 6.362
Li O Se Tm
2 2 2 2
Direct
0.000 0.281 0.102
0.000 0.719 0.602
0.500 0.144 0.176
0.500 0.856 0.676
0.000 0.671 0.205
0.000 0.329 0.705
0.500 0.866 0.008
0.500 0.134 0.508
```

Distance to the lowest polymorph of the same formula   288 meV per atom